Below is a PBEsol-optimized structure of CrTe2Rh, with properties calculated at the meta-GGA SCAN level.

abc: 4.705 4.705 4.705
angles: 60.00 60.00 60.00
Fractional positions:
Cr1 0.000 0.000 0.000
Te1 0.250 0.250 0.250
Te2 0.750 0.750 0.750
Rh1 0.500 0.500 0.500

Calculated values
total moment: 3.8 μB/f.u.
raw total energy: -31.58 eV per atom
crystal system: cubic

---

Below is a PBEsol-optimized structure of Cs3PrF6, with properties calculated at the meta-GGA SCAN level.

abc: 7.142 7.142 7.142
angles: 60.00 60.00 60.00
Fractional positions:
Cs1 0.000 0.000 0.000
Cs2 0.250 0.250 0.250
Cs3 0.750 0.750 0.750
Pr1 0.500 0.500 0.500
F1 0.275 0.275 0.725
F2 0.275 0.725 0.275
F3 0.275 0.725 0.725
F4 0.725 0.275 0.275
F5 0.725 0.275 0.725
F6 0.725 0.725 0.275

Calculated values
total moment: 0.0 μB/f.u.
raw total energy: -21.20 eV per atom
crystal system: cubic

---

Below is a PBEsol-optimized structure of NiH4C2S4N2, with properties calculated at the meta-GGA SCAN level.

abc: 7.009 12.746 10.817
angles: 90.00 130.04 90.00
Fractional positions:
Ni1 0.170 0.127 0.029
Ni2 0.170 0.373 0.529
Ni3 0.830 0.627 0.471
Ni4 0.830 0.873 0.971
H1 0.230 0.088 0.544
H2 0.230 0.412 0.044
H3 0.259 0.513 0.947
H4 0.259 0.987 0.447
H5 0.360 0.737 0.486
H6 0.360 0.763 0.986
H7 0.409 0.648 0.383
H8 0.409 0.852 0.883
H9 0.591 0.148 0.117
H10 0.591 0.352 0.617
H11 0.640 0.237 0.014
H12 0.640 0.263 0.514
H13 0.741 0.013 0.553
H14 0.741 0.487 0.053
H15 0.770 0.588 0.956
H16 0.770 0.912 0.456
C1 0.143 0.739 0.743
C2 0.143 0.761 0.243
C3 0.496 0.525 0.193
C4 0.496 0.975 0.693
C5 0.504 0.025 0.307
C6 0.504 0.475 0.807
C7 0.857 0.239 0.757
C8 0.857 0.261 0.257
S1 0.018 0.129 0.779
S2 0.018 0.371 0.279
S3 0.051 0.730 0.057
S4 0.051 0.770 0.557
S5 0.340 0.134 0.281
S6 0.340 0.366 0.781
S7 0.405 0.512 0.622
S8 0.405 0.988 0.122
S9 0.595 0.012 0.878
S10 0.595 0.488 0.378
S11 0.660 0.634 0.219
S12 0.660 0.866 0.719
S13 0.949 0.230 0.443
S14 0.949 0.270 0.943
S15 0.982 0.629 0.721
S16 0.982 0.871 0.221
N1 0.309 0.711 0.379
N2 0.309 0.789 0.879
N3 0.323 0.021 0.554
N4 0.323 0.479 0.054
N5 0.677 0.521 0.946
N6 0.677 0.979 0.446
N7 0.691 0.211 0.121
N8 0.691 0.289 0.621

Calculated values
total moment: 0.1 μB/f.u.
raw total energy: -8.42 eV per atom
crystal system: monoclinic